A relaxed structure of RbCaPS2. Source: Alexandria, functional PBE-GGA.

Cell lengths 5.500, 5.500, 5.279 Å; angles 90.00, 90.00, 90.00 degrees
Atoms (fractional coordinates):
S: 0.000 0.500 0.000
S: 0.500 0.000 0.000
Ca: 0.500 0.500 0.500
Rb: 0.000 0.000 0.000
P: 0.000 0.000 0.500

Calculated values
mass density	2.29	g/cm3
space group	No. 123
formation energy from raw total energies	3.35	eV per formula unit
crystal system	tetragonal
excess energy over the best structure of this formula in the dataset	872	meV/atom

***

A relaxed structure of PmNdNiPb. Source: Alexandria, functional PBE-GGA.

Cell lengths 5.310, 5.310, 5.310 Å; angles 60.00, 60.00, 60.00 degrees
Atoms (fractional coordinates):
Nd: 0.500 0.500 0.500
Pb: 0.250 0.250 0.250
Pm: 0.000 0.000 0.000
Ni: 0.750 0.750 0.750

Calculated values
mass density	8.71	g/cm3
space group	No. 216
formation enthalpy at 0 K	-0.26	eV per atom
crystal system	cubic

***

A relaxed structure of CsAc2Dy. Source: Alexandria, functional PBE-GGA.

Cell lengths 3.942, 3.942, 14.279 Å; angles 82.07, 82.07, 60.00 degrees
Atoms (fractional coordinates):
Cs: 0.000 0.000 0.000
Ac: 0.097 0.097 0.708
Ac: 0.903 0.903 0.292
Dy: 0.500 0.500 0.500

Calculated values
mass density	6.56	g/cm3
space group	No. 166
formation enthalpy at 0 K	0.24	eV per atom
crystal system	trigonal

***

A relaxed structure of NaZrRe2C. Source: Alexandria, functional PBE-GGA.

Cell lengths 4.133, 4.512, 4.133 Å; angles 90.00, 90.00, 90.00 degrees
Atoms (fractional coordinates):
Re: 0.500 0.000 0.000
Re: 0.000 0.000 0.500
Na: 0.000 0.500 0.000
C: 0.000 0.000 0.000
Zr: 0.500 0.500 0.500

Calculated values
mass density	10.74	g/cm3
space group	No. 123
formation enthalpy at 0 K	0.45	eV per atom
crystal system	tetragonal

***

A relaxed structure of DyGa4NiRu2. Source: Alexandria, functional PBE-GGA.

Cell lengths 4.218, 4.218, 8.758 Å; angles 76.07, 76.07, 60.00 degrees
Atoms (fractional coordinates):
Ga: 0.869 0.869 0.394
Ga: 0.400 0.400 0.800
Ga: 0.600 0.600 0.200
Ga: 0.131 0.131 0.606
Dy: 0.000 0.000 0.000
Ru: 0.233 0.233 0.300
Ru: 0.767 0.767 0.700
Ni: 0.500 0.500 0.500

Calculated values
mass density	9.00	g/cm3
space group	No. 166
formation enthalpy at 0 K	-0.43	eV per atom
crystal system	trigonal

***

A relaxed structure of Ac5Tm2Pb5. Source: Alexandria, functional PBE-GGA.

Cell lengths 4.757, 8.216, 13.448 Å; angles 110.18, 90.00, 106.83 degrees
Atoms (fractional coordinates):
Pb: 0.678 0.356 0.785
Pb: 0.890 0.781 0.587
Pb: 0.322 0.644 0.215
Pb: 0.000 0.000 0.000
Pb: 0.110 0.219 0.413
Tm: 0.950 0.899 0.206
Tm: 0.050 0.101 0.794
Ac: 0.337 0.674 0.960
Ac: 0.663 0.326 0.040
Ac: 0.732 0.463 0.347
Ac: 0.500 0.000 0.500
Ac: 0.268 0.537 0.653

Calculated values
mass density	8.88	g/cm3
space group	No. 12
formation enthalpy at 0 K	-0.38	eV per atom
crystal system	monoclinic

***

A relaxed structure of Cd3Ga. Source: Alexandria, functional PBE-GGA.

Cell lengths 3.103, 4.377, 6.386 Å; angles 90.00, 90.00, 90.00 degrees
Atoms (fractional coordinates):
Cd: 0.000 0.000 0.500
Cd: 0.500 0.500 0.244
Cd: 0.500 0.500 0.756
Ga: 0.000 0.000 0.000

Calculated values
mass density	7.79	g/cm3
space group	No. 47
formation enthalpy at 0 K	0.04	eV per atom
crystal system	orthorhombic

***

A relaxed structure of ErThZrPa. Source: Alexandria, functional PBE-GGA.

Cell lengths 5.370, 5.370, 5.370 Å; angles 60.00, 60.00, 60.00 degrees
Atoms (fractional coordinates):
Pa: 0.000 0.000 0.000
Er: 0.500 0.500 0.500
Zr: 0.750 0.750 0.750
Th: 0.250 0.250 0.250

Calculated values
mass density	10.94	g/cm3
space group	No. 216
formation enthalpy at 0 K	0.30	eV per atom
crystal system	cubic

***

A relaxed structure of Tb2PPd6. Source: Alexandria, functional PBE-GGA.

Cell lengths 6.112, 6.112, 6.112 Å; angles 60.00, 60.00, 60.00 degrees
Atoms (fractional coordinates):
Pd: 0.733 0.267 0.733
Pd: 0.733 0.733 0.267
Pd: 0.267 0.733 0.733
Pd: 0.267 0.733 0.267
Pd: 0.267 0.267 0.733
Pd: 0.733 0.267 0.267
Tb: 0.250 0.250 0.250
Tb: 0.750 0.750 0.750
P: 0.000 0.000 0.000

Calculated values
mass density	10.16	g/cm3
space group	No. 225
formation enthalpy at 0 K	-0.85	eV per atom
crystal system	cubic

***

A relaxed structure of NiTeRh2. Source: Alexandria, functional PBE-GGA.

Cell lengths 4.620, 4.620, 4.081 Å; angles 63.78, 63.78, 52.40 degrees
Atoms (fractional coordinates):
Rh: 0.500 0.500 0.500
Rh: 0.000 0.000 0.000
Te: 0.750 0.750 0.750
Ni: 0.250 0.250 0.250

Calculated values
mass density	10.84	g/cm3
space group	No. 139
formation energy from raw total energies	-0.18	eV per formula unit
crystal system	tetragonal

***

A relaxed structure of LaCrCo2Ru. Source: Alexandria, functional PBE-GGA.

Cell lengths 4.441, 4.705, 4.441 Å; angles 90.00, 90.00, 90.00 degrees
Atoms (fractional coordinates):
Co: 0.000 0.000 0.500
Co: 0.500 0.000 0.000
Ru: 0.500 0.500 0.500
La: 0.000 0.000 0.000
Cr: 0.000 0.500 0.000

Calculated values
mass density	7.33	g/cm3
space group	No. 123
formation enthalpy at 0 K	1.91	eV per atom
crystal system	tetragonal

***

A relaxed structure of Rb2NaCdAs2. Source: Alexandria, functional PBE-GGA.

Cell lengths 6.940, 6.866, 9.460 Å; angles 111.28, 111.52, 90.00 degrees
Atoms (fractional coordinates):
Na: 0.000 0.250 0.000
Na: 0.000 0.750 0.000
Rb: 0.070 0.327 0.655
Rb: 0.930 0.673 0.345
Rb: 0.415 0.173 0.345
Rb: 0.585 0.827 0.655
Cd: 0.500 0.250 0.000
Cd: 0.500 0.750 0.000
As: 0.626 0.403 0.806
As: 0.180 0.903 0.806
As: 0.820 0.097 0.194
As: 0.374 0.597 0.194

Calculated values
mass density	3.92	g/cm3
space group	No. 72
formation enthalpy at 0 K	-0.36	eV per atom
crystal system	orthorhombic

***

A relaxed structure of Pr2Al2Ag. Source: Alexandria, functional PBE-GGA.

Cell lengths 4.713, 5.973, 10.093 Å; angles 84.27, 76.50, 66.77 degrees
Atoms (fractional coordinates):
Pr: 0.684 0.309 0.323
Pr: 0.081 0.732 0.107
Pr: 0.316 0.691 0.677
Pr: 0.919 0.268 0.893
Al: 0.919 0.720 0.443
Al: 0.374 0.141 0.111
Al: 0.081 0.280 0.557
Al: 0.626 0.859 0.889
Ag: 0.628 0.099 0.646
Ag: 0.372 0.901 0.354

Calculated values
mass density	5.80	g/cm3
space group	No. 12
formation enthalpy at 0 K	-0.36	eV per atom
crystal system	monoclinic

***

A relaxed structure of CsLaTeSe. Source: Alexandria, functional PBE-GGA.

Cell lengths 4.602, 4.602, 9.193 Å; angles 90.01, 104.49, 120.00 degrees
Atoms (fractional coordinates):
Te: 0.101 0.949 0.065
Cs: 0.972 0.384 0.371
La: 0.293 0.545 0.853
Se: 0.512 0.153 0.681

Calculated values
mass density	4.92	g/cm3
space group	No. 160
formation energy from raw total energies	-6.51	eV per formula unit
crystal system	trigonal

***

A relaxed structure of Nd4Tl2Ga. Source: Alexandria, functional PBE-GGA.

Cell lengths 5.368, 6.577, 6.577 Å; angles 108.67, 90.00, 90.00 degrees
Atoms (fractional coordinates):
Nd: 0.000 0.748 0.748
Nd: 0.500 0.500 0.000
Nd: 0.500 0.000 0.500
Nd: 0.000 0.252 0.252
Tl: 0.000 0.755 0.245
Tl: 0.000 0.245 0.755
Ga: 0.500 0.500 0.500

Calculated values
mass density	7.97	g/cm3
space group	No. 65
formation enthalpy at 0 K	-0.28	eV per atom
crystal system	orthorhombic
excess energy over the best structure of this formula in the dataset	0	meV/atom

***

A relaxed structure of DyErBr6. Source: Alexandria, functional PBE-GGA.

Cell lengths 7.591, 7.591, 6.919 Å; angles 97.80, 97.80, 125.78 degrees
Atoms (fractional coordinates):
Br: 0.606 0.890 0.748
Br: 0.251 0.251 0.749
Br: 0.749 0.749 0.251
Br: 0.394 0.110 0.252
Br: 0.110 0.394 0.252
Br: 0.890 0.606 0.748
Er: 0.500 0.500 0.500
Dy: 0.000 0.000 0.000

Calculated values
mass density	4.35	g/cm3
space group	No. 12
formation energy from raw total energies	-14.69	eV per formula unit
crystal system	monoclinic
excess energy over the best structure of this formula in the dataset	0	meV/atom

***

A relaxed structure of Pa2TiWN6. Source: Alexandria, functional PBE-GGA.

Cell lengths 4.791, 5.366, 5.366 Å; angles 90.00, 90.00, 90.00 degrees
Atoms (fractional coordinates):
Ti: 0.578 0.500 0.500
N: 0.731 0.751 0.249
N: 0.731 0.751 0.751
N: 0.731 0.249 0.751
N: 0.731 0.249 0.249
N: 0.193 0.500 0.500
N: 0.199 0.000 0.000
W: 0.581 0.000 0.000
Pa: 0.986 0.000 0.500
Pa: 0.986 0.500 0.000

Calculated values
mass density	9.36	g/cm3
space group	No. 99
formation energy from raw total energies	-11.23	eV per formula unit
crystal system	tetragonal

***

A relaxed structure of LaCe2TmTl4. Source: Alexandria, functional PBE-GGA.

Cell lengths 5.490, 5.490, 9.576 Å; angles 73.34, 73.34, 60.00 degrees
Atoms (fractional coordinates):
La: 0.000 0.000 0.000
Tm: 0.500 0.500 0.500
Tl: 0.378 0.378 0.867
Tl: 0.873 0.873 0.381
Tl: 0.622 0.622 0.133
Tl: 0.127 0.127 0.619
Ce: 0.249 0.249 0.254
Ce: 0.751 0.751 0.746

Calculated values
mass density	9.90	g/cm3
space group	No. 166
formation enthalpy at 0 K	-0.27	eV per atom
crystal system	trigonal

***

A relaxed structure of Ba2PaZnSe5. Source: Alexandria, functional PBE-GGA.

Cell lengths 4.295, 9.710, 13.410 Å; angles 90.00, 90.00, 102.78 degrees
Atoms (fractional coordinates):
Zn: 0.441 0.883 0.435
Zn: 0.559 0.117 0.935
Se: 0.950 0.899 0.536
Se: 0.692 0.383 0.872
Se: 0.295 0.589 0.662
Se: 0.050 0.101 0.036
Se: 0.705 0.411 0.162
Se: 0.349 0.697 0.009
Se: 0.308 0.617 0.372
Se: 0.651 0.303 0.509
Se: 0.500 0.000 0.276
Se: 0.500 0.000 0.776
Pa: 0.799 0.598 0.519
Pa: 0.201 0.402 0.019
Ba: 0.878 0.755 0.824
Ba: 0.885 0.771 0.190
Ba: 0.115 0.229 0.690
Ba: 0.122 0.245 0.324

Calculated values
mass density	5.88	g/cm3
space group	No. 36
formation energy from raw total energies	-13.89	eV per formula unit
crystal system	orthorhombic

***

A relaxed structure of Sr5IrO6. Source: Alexandria, functional PBE-GGA.

Cell lengths 6.123, 6.178, 6.244 Å; angles 60.35, 81.19, 71.96 degrees
Atoms (fractional coordinates):
O: 0.777 0.772 0.000
O: 0.256 0.910 0.670
O: 0.744 0.420 0.670
O: 0.223 0.228 0.000
O: 0.256 0.580 0.330
O: 0.744 0.090 0.330
Sr: 0.500 0.161 0.678
Sr: 0.000 0.670 0.659
Sr: 0.500 0.500 0.000
Sr: 0.000 0.330 0.341
Sr: 0.500 0.839 0.322
Ir: 0.000 0.000 0.000

Calculated values
mass density	6.18	g/cm3
space group	No. 12
formation energy from raw total energies	-25.43	eV per formula unit
crystal system	monoclinic

***

A relaxed structure of Pm2MgAl3Zn4. Source: Alexandria, functional PBE-GGA.

Cell lengths 4.293, 4.293, 10.844 Å; angles 90.00, 90.00, 90.00 degrees
Atoms (fractional coordinates):
Zn: 0.000 0.000 0.000
Zn: 0.000 0.500 0.357
Zn: 0.500 0.000 0.643
Zn: 0.500 0.500 0.000
Pm: 0.000 0.500 0.762
Pm: 0.500 0.000 0.238
Al: 0.000 0.000 0.500
Al: 0.000 0.500 0.131
Al: 0.500 0.000 0.869
Mg: 0.500 0.500 0.500

Calculated values
mass density	5.46	g/cm3
space group	No. 115
formation enthalpy at 0 K	-0.36	eV per atom
crystal system	tetragonal

***

A relaxed structure of SrNdSb2O8. Source: Alexandria, functional PBE-GGA.

Cell lengths 5.481, 5.481, 6.989 Å; angles 113.08, 113.08, 90.00 degrees
Atoms (fractional coordinates):
O: 0.767 0.824 0.170
O: 0.654 0.233 0.830
O: 0.584 0.676 0.681
O: 0.176 0.596 0.830
O: 0.404 0.346 0.170
O: 0.324 0.902 0.319
O: 0.995 0.416 0.319
O: 0.098 0.005 0.681
Sb: 0.250 0.750 0.500
Sb: 0.500 0.500 0.000
Nd: 0.000 0.000 0.000
Sr: 0.750 0.250 0.500

Calculated values
mass density	5.73	g/cm3
space group	No. 82
formation energy from raw total energies	-23.65	eV per formula unit
crystal system	tetragonal